# CrGeRuO6

Crystalline CrGeRuO6 at its relaxed geometry (PBE+U, Alexandria via LeMat-Bulk).

Computed properties:
- raw total energy (eV per atom) = -7.077
- spin magnetization (μB/cell) = 3.2
- density (Mg/m³) = 5.717
- symmetry = P4_2nm, No. 102

Cell lengths 4.5379, 4.5379, 9.0758 Å; angles 90.00, 90.00, 90.00 degrees
Closest atoms and distances in Å follow each position.
Element x y z (fractional)
O  0.8090  0.1910  0.1695  1 Ge 1.93, 1 Ru 1.96, 1 Cr 1.98
O  0.1910  0.8090  0.1695  1 Ge 1.93, 1 Ru 1.96, 1 Cr 1.98
O  0.7992  0.2008  0.8338  1 Ge 1.92, 1 Cr 1.99, 1 Ru 1.99
O  0.8045  0.1955  0.4957  1 Ge 1.93, 1 Ru 1.95, 1 Cr 2.00
O  0.6955  0.6955  0.9957  1 Ge 1.93, 1 Ru 1.95, 1 Cr 2.00
O  0.2008  0.7992  0.8338  1 Ge 1.92, 1 Cr 1.99, 1 Ru 1.99
O  0.2992  0.2992  0.3338  1 Ge 1.92, 1 Cr 1.99, 1 Ru 1.99
Ge  0.5000  0.5000  0.8341  6 O 1.92-1.93
Ge  0.0000  0.0000  0.3341  6 O 1.92-1.93
O  0.7008  0.7008  0.3338  1 Ge 1.92, 1 Cr 1.99, 1 Ru 1.99
O  0.3090  0.3090  0.6695  1 Ge 1.93, 1 Ru 1.96, 1 Cr 1.98
Cr  0.5000  0.5000  0.1671  6 O 1.98-2.00
Cr  0.0000  0.0000  0.6671  6 O 1.98-2.00
O  0.6910  0.6910  0.6695  1 Ge 1.93, 1 Ru 1.96, 1 Cr 1.98
Ru  0.0000  0.0000  0.0007  6 O 1.95-1.99
O  0.1955  0.8045  0.4957  1 Ge 1.93, 1 Ru 1.95, 1 Cr 2.00
Ru  0.5000  0.5000  0.5007  6 O 1.95-1.99
O  0.3045  0.3045  0.9957  1 Ge 1.93, 1 Ru 1.95, 1 Cr 2.00